Computed, not measured: a geometry-optimized FeHCl5 structure at the PBE level of DFT.

a b c (Å): 8.756 9.847 10.554
angles (deg): 90.00 90.00 90.00
Atoms (fractional coordinates):
H: 0.250 0.763 0.342
Cl: 0.561 0.726 0.626
Cl: 0.750 0.486 0.256
Cl: 0.250 0.030 0.561
Cl: 0.061 0.274 0.374
H: 0.250 0.737 0.842
Fe: 0.250 0.359 0.888
Cl: 0.439 0.274 0.374
Cl: 0.750 0.970 0.439
Cl: 0.250 0.861 0.883
Cl: 0.750 0.361 0.617
Cl: 0.061 0.226 0.874
Cl: 0.750 0.530 0.939
H: 0.750 0.263 0.158
Fe: 0.250 0.141 0.388
Cl: 0.250 0.514 0.744
Cl: 0.750 0.139 0.117
Cl: 0.250 0.639 0.383
Cl: 0.939 0.726 0.626
Cl: 0.750 0.014 0.756
Cl: 0.561 0.774 0.126
Cl: 0.250 0.986 0.244
Cl: 0.250 0.470 0.061
Cl: 0.939 0.774 0.126
H: 0.750 0.237 0.658
Fe: 0.750 0.859 0.612
Cl: 0.439 0.226 0.874
Fe: 0.750 0.641 0.112

Output
crystal system = orthorhombic
energy = -3.538 eV/atom

Computed, not measured: a geometry-optimized Np2FeCo3P4 structure at the PBE level of DFT.

a b c (Å): 3.915 3.915 9.003
angles (deg): 90.00 90.00 90.00
Atoms (fractional coordinates):
Np: 0.000 0.500 0.753
P: 0.500 0.000 0.636
Co: 0.000 0.500 0.114
Co: 0.000 0.000 0.500
P: 0.000 0.000 0.000
Np: 0.500 0.000 0.247
P: 0.500 0.500 0.000
Fe: 0.500 0.500 0.500
P: 0.000 0.500 0.364
Co: 0.500 0.000 0.886

Output
crystal system = tetragonal
energy of formation from the pure elements = -0.739 eV/atom

Computed, not measured: a geometry-optimized BaPuH2F8 structure at the PBE level of DFT.

a b c (Å): 4.612 5.109 8.320
angles (deg): 96.42 86.16 71.55
Atoms (fractional coordinates):
Pu: 0.000 0.000 0.000
Ba: 0.000 0.000 0.500
F: 0.280 0.248 0.013
F: 0.746 0.286 0.247
H: 0.680 0.515 0.328
F: 0.254 0.714 0.753
F: 0.190 0.790 0.199
H: 0.320 0.485 0.672
F: 0.810 0.210 0.801
F: 0.720 0.752 0.987
F: 0.640 0.691 0.425
F: 0.360 0.309 0.575

Output
crystal system = triclinic
energy = -6.066 eV/atom

Computed, not measured: a geometry-optimized PbW structure at the PBE level of DFT.

a b c (Å): 7.303 7.303 7.303
angles (deg): 34.08 34.08 34.08
Atoms (fractional coordinates):
W: 0.667 0.667 0.667
Pb: 0.099 0.099 0.099
W: 0.333 0.333 0.333
Pb: 0.901 0.901 0.901

Output
crystal system = trigonal
energy above the lowest structure with this stoichiometry = 0.82 eV/f.u.
energy of formation from the pure elements = 0.904 eV/atom

Computed, not measured: a geometry-optimized Tb3In2Ru structure at the PBE level of DFT.

a b c (Å): 5.113 8.042 7.550
angles (deg): 90.00 90.00 71.47
Atoms (fractional coordinates):
In: 0.664 0.672 0.500
Tb: 0.175 0.649 0.222
Tb: 0.825 0.351 0.222
Tb: 0.175 0.649 0.778
Tb: 0.500 0.000 0.766
Tb: 0.500 0.000 0.234
In: 0.000 0.000 0.000
Ru: 0.661 0.678 0.000
Ru: 0.339 0.322 0.000
Tb: 0.825 0.351 0.778
In: 0.000 0.000 0.500
In: 0.336 0.328 0.500

Output
crystal system = orthorhombic
energy above the lowest structure with this stoichiometry = 0.00 eV/f.u.
energy of formation from the pure elements = -0.435 eV/atom

Computed, not measured: a geometry-optimized AcYIn2 structure at the PBE level of DFT.

a b c (Å): 3.913 3.913 7.946
angles (deg): 90.00 90.00 90.00
Atoms (fractional coordinates):
Ac: 0.500 0.500 0.500
Y: 0.500 0.500 0.000
In: 0.000 0.000 0.780
In: 0.000 0.000 0.220

Output
crystal system = tetragonal
energy of formation from the pure elements = -0.459 eV/atom

Computed, not measured: a geometry-optimized TmLuSnAu structure at the PBE level of DFT.

a b c (Å): 5.137 5.137 5.137
angles (deg): 60.00 60.00 60.00
Atoms (fractional coordinates):
Au: 0.750 0.750 0.750
Tm: 0.500 0.500 0.500
Sn: 0.250 0.250 0.250
Lu: 0.000 0.000 0.000

Output
crystal system = cubic
energy of formation from the pure elements = -0.680 eV/atom

Computed, not measured: a geometry-optimized Mg2ZrTl structure at the PBE level of DFT.

a b c (Å): 3.379 3.379 7.921
angles (deg): 90.00 90.00 90.00
Atoms (fractional coordinates):
Mg: 0.500 0.500 0.249
Tl: 0.000 0.000 0.489
Zr: 0.500 0.500 0.755
Mg: 0.000 0.000 0.006

Output
crystal system = tetragonal
energy above the lowest structure with this stoichiometry = 0.49 eV/f.u.
energy of formation from the pure elements = 0.014 eV/atom

Computed, not measured: a geometry-optimized LaPa2MnN4 structure at the PBE level of DFT.

a b c (Å): 3.428 6.146 11.545
angles (deg): 90.00 90.00 106.19
Atoms (fractional coordinates):
Pa: 0.367 0.734 0.557
N: 0.000 0.000 0.000
N: 0.733 0.467 0.883
Pa: 0.633 0.266 0.057
Pa: 0.367 0.734 0.943
La: 0.099 0.199 0.750
N: 0.733 0.467 0.617
La: 0.901 0.801 0.250
Pa: 0.633 0.266 0.443
N: 0.000 0.000 0.500
Mn: 0.839 0.678 0.750
N: 0.438 0.875 0.750
N: 0.562 0.125 0.250
Mn: 0.161 0.322 0.250
N: 0.267 0.533 0.117
N: 0.267 0.533 0.383

Output
crystal system = orthorhombic
formation energy without anion corrections = -1337 meV per atom

Computed, not measured: a geometry-optimized ReHgBr2 structure at the PBE level of DFT.

a b c (Å): 6.624 6.624 3.299
angles (deg): 59.61 59.61 74.61
Atoms (fractional coordinates):
Hg: 0.500 0.000 0.500
Re: 0.000 0.500 0.500
Br: 0.500 0.500 0.000
Br: 0.000 0.000 0.000

Output
crystal system = monoclinic
energy above the lowest structure with this stoichiometry = 3.17 eV/f.u.
formation energy without anion corrections = 1082 meV per atom

Computed, not measured: a geometry-optimized Cd2BBr structure at the PBE level of DFT.

a b c (Å): 5.017 5.017 5.017
angles (deg): 60.00 60.00 60.00
Atoms (fractional coordinates):
B: 0.000 0.000 0.000
Cd: 0.250 0.250 0.250
Br: 0.500 0.500 0.500
Cd: 0.750 0.750 0.750

Output
crystal system = cubic
energy above the lowest structure with this stoichiometry = 2.56 eV/f.u.
formation energy without anion corrections = 1060 meV per atom

Computed, not measured: a geometry-optimized Cs2NiBr7 structure at the PBE level of DFT.

a b c (Å): 8.206 8.206 7.828
angles (deg): 121.61 121.61 90.00
Atoms (fractional coordinates):
Br: 0.706 0.706 0.000
Br: 0.294 0.706 0.000
Br: 0.747 0.747 0.495
Cs: 0.250 0.750 0.500
Ni: 0.500 0.500 0.000
Br: 0.000 0.000 0.000
Br: 0.294 0.294 0.000
Br: 0.253 0.253 0.505
Br: 0.706 0.294 0.000
Cs: 0.750 0.250 0.500

Output
crystal system = tetragonal
formation energy without anion corrections = -836 meV per atom

Computed, not measured: a geometry-optimized NaLaCuAu structure at the PBE level of DFT.

a b c (Å): 5.109 5.109 5.109
angles (deg): 60.00 60.00 60.00
Atoms (fractional coordinates):
Au: 0.750 0.750 0.750
Na: 0.500 0.500 0.500
La: 0.000 0.000 0.000
Cu: 0.250 0.250 0.250

Output
crystal system = cubic
energy of formation from the pure elements = -0.275 eV/atom

Computed, not measured: a geometry-optimized La2Ho3Th structure at the PBE level of DFT.

a b c (Å): 6.727 9.141 6.727
angles (deg): 81.92 85.21 98.08
Atoms (fractional coordinates):
Th: 0.083 0.750 0.083
Ho: 0.331 0.499 0.835
Ho: 0.165 0.999 0.669
La: 0.877 0.624 0.625
Ho: 0.583 0.250 0.583
Ho: 0.669 0.501 0.165
La: 0.375 0.124 0.123
Ho: 0.417 0.750 0.417
Ho: 0.835 0.001 0.331
La: 0.625 0.876 0.877
Th: 0.917 0.250 0.917
La: 0.123 0.376 0.375

Output
crystal system = monoclinic
energy above the lowest structure with this stoichiometry = 0.35 eV/f.u.
energy of formation from the pure elements = 0.107 eV/atom

Computed, not measured: a geometry-optimized CdGa2Fe structure at the PBE level of DFT.

a b c (Å): 4.084 4.084 9.296
angles (deg): 77.31 77.31 90.00
Atoms (fractional coordinates):
Ga: 0.375 0.431 0.750
Ga: 0.875 0.819 0.750
Fe: 0.500 0.500 0.000
Cd: 0.750 0.250 0.500
Ga: 0.569 0.125 0.250
Cd: 0.000 0.000 0.000
Ga: 0.181 0.625 0.250
Fe: 0.250 0.750 0.500

Output
crystal system = tetragonal
energy of formation from the pure elements = 0.276 eV/atom

Computed, not measured: a geometry-optimized LaGaPdPt3 structure at the PBE level of DFT.

a b c (Å): 5.781 7.063 6.848
angles (deg): 121.04 90.00 90.00
Atoms (fractional coordinates):
Ga: 0.750 0.631 0.261
La: 0.250 0.710 0.420
Pd: 0.750 0.070 0.139
Pd: 0.250 0.930 0.861
Pt: 0.750 0.837 0.674
Pt: 0.000 0.300 0.000
Pt: 0.500 0.300 0.000
La: 0.750 0.290 0.580
Ga: 0.250 0.369 0.739
Pt: 0.000 0.700 0.000
Pt: 0.250 0.163 0.326
Pt: 0.500 0.700 0.000

Output
crystal system = orthorhombic
energy of formation from the pure elements = -0.620 eV/atom